BaW: relaxed, PBE-GGA.

Results
Total energy: -6.525 eV per atom
Total magnetization: 0.00 μB per cell
Crystal system: orthorhombic
Energy relative to the elements: 913 meV per atom
Calculated volume: 132.6 Å³/cell
Space group: Pmmn (59)

a = 4.0496 Å, b = 3.3196 Å, c = 9.8641 Å
α = 90.00°, β = 90.00°, γ = 90.00°
Last column: nearest neighbours and their distance in Å.
Atoms (fractional coordinates):
W  0.0000  0.5000  0.4362  4 W 2.65
Ba  0.0000  0.0000  0.1213  2 Ba 3.32, 4 W 3.39-3.52
Ba  0.5000  0.5000  0.7121  2 Ba 3.32, 4 W 3.39-3.52
W  0.5000  0.0000  0.3971  4 W 2.65



BaW3: relaxed, PBE-GGA.

Results
Total energy: -8.635 eV per atom
Total magnetization: 0.00 μB per cell
Crystal system: hexagonal
Energy relative to the elements: 1561 meV per atom
Calculated volume: 367.7 Å³/cell
Space group: P6_3/mmc (194)

a = 7.0333 Å, b = 7.0333 Å, c = 8.5829 Å
α = 90.00°, β = 90.00°, γ = 120.00°
Last column: nearest neighbours and their distance in Å.
Atoms (fractional coordinates):
W  0.7862  0.2138  0.2500  6 W 2.52-2.81
W  0.5000  0.5000  0.5000  4 W 2.81, 2 Ba 2.95
Ba  0.6667  0.3333  0.7500  6 W 2.95
W  0.0000  0.5000  0.0000  4 W 2.81, 2 Ba 2.95
W  0.0000  0.5000  0.5000  4 W 2.81, 2 Ba 2.95
W  0.5000  0.0000  0.0000  4 W 2.81, 2 Ba 2.95
W  0.2138  0.7862  0.7500  6 W 2.52-2.81
Ba  0.0000  0.0000  0.0000  12 W 3.37-3.52
Ba  0.0000  0.0000  0.5000  12 W 3.37-3.52
W  0.5000  0.0000  0.5000  4 W 2.81, 2 Ba 2.95
Ba  0.3333  0.6667  0.2500  6 W 2.95
W  0.2138  0.4276  0.7500  6 W 2.52-2.81
W  0.7862  0.5724  0.2500  6 W 2.52-2.81
W  0.5000  0.5000  0.0000  4 W 2.81, 2 Ba 2.95
W  0.4276  0.2138  0.2500  6 W 2.52-2.81
W  0.5724  0.7862  0.7500  6 W 2.52-2.81



BaW5: relaxed, PBE-GGA.

Results
Total energy: -10.498 eV per atom
Total magnetization: 0.00 μB per cell
Crystal system: tetragonal
Energy relative to the elements: 616 meV per atom
Calculated volume: 118.6 Å³/cell
Space group: P4/mmm (123)

a = 3.1996 Å, b = 3.1996 Å, c = 11.5839 Å
α = 90.00°, β = 90.00°, γ = 90.00°
Last column: nearest neighbours and their distance in Å.
Atoms (fractional coordinates):
W  0.0000  0.0000  0.2350  4 W 2.69
W  0.0000  0.0000  0.5000  10 W 2.78-3.07
W  0.5000  0.5000  0.3608  8 W 2.69-2.78
Ba  0.5000  0.5000  0.0000  4 Ba 3.20, 8 W 3.54
W  0.0000  0.0000  0.7650  4 W 2.69
W  0.5000  0.5000  0.6392  8 W 2.69-2.78



BaW3: relaxed, PBE-GGA.

Results
Total energy: -8.227 eV per atom
Total magnetization: 0.00 μB per cell
Crystal system: cubic
Energy relative to the elements: 1969 meV per atom
Calculated volume: 159.8 Å³/cell
Space group: Pm-3n (223)

a = 5.4260 Å, b = 5.4260 Å, c = 5.4260 Å
α = 90.00°, β = 90.00°, γ = 90.00°
Last column: nearest neighbours and their distance in Å.
Atoms (fractional coordinates):
W  0.5000  0.0000  0.7500  2 W 2.71, 4 Ba 3.03
W  0.5000  0.0000  0.2500  2 W 2.71, 4 Ba 3.03
Ba  0.0000  0.0000  0.0000  12 W 3.03
Ba  0.5000  0.5000  0.5000  12 W 3.03
W  0.2500  0.5000  0.0000  2 W 2.71, 4 Ba 3.03
W  0.0000  0.7500  0.5000  2 W 2.71, 4 Ba 3.03
W  0.0000  0.2500  0.5000  2 W 2.71, 4 Ba 3.03
W  0.7500  0.5000  0.0000  2 W 2.71, 4 Ba 3.03



Ba2W: relaxed, PBE-GGA.

Results
Total energy: -4.918 eV per atom
Total magnetization: 0.00 μB per cell
Crystal system: monoclinic
Energy relative to the elements: 682 meV per atom
Calculated volume: 259.7 Å³/cell
Space group: C2/m (12)

a = 9.4057 Å, b = 9.4057 Å, c = 7.0892 Å
α = 77.10°, β = 77.10°, γ = 25.17°
Last column: nearest neighbours and their distance in Å.
Atoms (fractional coordinates):
Ba  0.1593  0.1593  0.6846  3 W 3.41-3.55
W  0.2349  0.2349  0.1026  2 W 2.50
Ba  0.8407  0.8407  0.3154  3 W 3.41-3.55
W  0.7651  0.7651  0.8974  2 W 2.50
Ba  0.5845  0.5845  0.1966  3 W 3.38-3.50
Ba  0.4155  0.4155  0.8034  3 W 3.38-3.50



BaW: relaxed, PBE-GGA.

Results
Total energy: -6.549 eV per atom
Total magnetization: 0.65 μB per cell
Crystal system: tetragonal
Energy relative to the elements: 889 meV per atom
Calculated volume: 628.8 Å³/cell
Space group: P4/m (83)

a = 11.6508 Å, b = 11.6508 Å, c = 4.6323 Å
α = 90.00°, β = 90.00°, γ = 90.00°
Last column: nearest neighbours and their distance in Å.
Atoms (fractional coordinates):
Ba  0.2251  0.0358  0.0000  4 W 3.23-3.56
Ba  0.6529  0.2751  0.5000  4 W 3.51-3.71
W  0.8951  0.5039  0.0000  3 W 2.45-2.58
Ba  0.9642  0.2251  0.0000  4 W 3.23-3.56
Ba  0.2751  0.3471  0.5000  4 W 3.51-3.71
W  0.4171  0.0621  0.5000  3 W 2.41-2.58
W  0.1049  0.4961  0.0000  3 W 2.45-2.58
W  0.5039  0.1049  0.0000  3 W 2.45-2.58
Ba  0.0358  0.7749  0.0000  4 W 3.23-3.56
W  0.5829  0.9379  0.5000  3 W 2.41-2.58
W  0.9379  0.4171  0.5000  3 W 2.41-2.58
Ba  0.3471  0.7249  0.5000  4 W 3.51-3.71
Ba  0.7249  0.6529  0.5000  4 W 3.51-3.71
W  0.0621  0.5829  0.5000  3 W 2.41-2.58
W  0.4961  0.8951  0.0000  3 W 2.45-2.58
Ba  0.7749  0.9642  0.0000  4 W 3.23-3.56